1) Below is a geometry-optimized CdTcAg structure, with properties calculated at the PBE level.

Density of states at the Fermi level = 0.594 states/eV/atom
Total moment = 0.00 Bohr magnetons per cell
Space group = No. 8

Lattice parameters (Å, degrees): 7.546 2.881 4.885 90.00 103.21 90.00
Fractional coordinates of all 6 atoms:
Tc1 0.915 0.000 0.205
Tc2 0.915 0.500 0.705
Ag1 0.591 0.000 0.433
Ag2 0.591 0.500 0.933
Cd1 0.247 0.000 0.656
Cd2 0.247 0.500 0.156



2) Below is a geometry-optimized CdTcAg structure, with properties calculated at the PBE level.

Density of states at the Fermi level = 0.565 states/eV/atom
Total moment = 0.00 Bohr magnetons per cell
Space group = No. 99

Lattice parameters (Å, degrees): 2.963 2.963 12.302 90.00 90.00 90.00
Fractional coordinates of all 6 atoms:
Tc1 0.500 0.500 0.003
Tc2 0.000 0.000 0.120
Ag1 0.500 0.500 0.667
Ag2 0.000 0.000 0.832
Cd1 0.000 0.000 0.492
Cd2 0.500 0.500 0.294



Pick 2): it beats the second-best structure by 0.260 eV/atom.



1) Below is a geometry-optimized CdAg2Te2 structure, with properties calculated at the PBE level.

Density of states at the Fermi level = 0.335 states/eV/atom
Total moment = 0.00 Bohr magnetons per cell
Space group = No. 139

Lattice parameters (Å, degrees): 4.413 4.413 7.676 73.29 73.29 90.00
Fractional coordinates of all 5 atoms:
Te1 0.750 0.250 0.500
Te2 0.250 0.750 0.500
Ag1 0.405 0.405 0.191
Ag2 0.595 0.595 0.809
Cd1 0.000 0.000 0.000



2) Below is a geometry-optimized CdAg2Te2 structure, with properties calculated at the PBE level.

Density of states at the Fermi level = 0.240 states/eV/atom
Total moment = 0.00 Bohr magnetons per cell
Space group = No. 127

Lattice parameters (Å, degrees): 8.985 8.985 3.183 90.00 90.00 90.00
Fractional coordinates of all 10 atoms:
Te1 0.329 0.829 0.000
Te2 0.829 0.671 0.000
Te3 0.671 0.171 0.000
Te4 0.171 0.329 0.000
Ag1 0.126 0.626 0.500
Ag2 0.626 0.874 0.500
Ag3 0.874 0.374 0.500
Ag4 0.374 0.126 0.500
Cd1 0.000 0.000 0.000
Cd2 0.500 0.500 0.000



3) Below is a geometry-optimized CdAg2Te2 structure, with properties calculated at the PBE level.

Density of states at the Fermi level = 0.524 states/eV/atom
Total moment = 0.00 Bohr magnetons per cell
Space group = No. 139

Lattice parameters (Å, degrees): 4.098 4.098 8.257 75.63 75.63 90.00
Fractional coordinates of all 5 atoms:
Te1 0.384 0.384 0.233
Te2 0.616 0.616 0.767
Ag1 0.750 0.250 0.500
Ag2 0.250 0.750 0.500
Cd1 0.000 0.000 0.000



Pick 3): it beats the second-best structure by 0.080 eV/atom.